A relaxed WCI2N crystal. Source: Alexandria, functional PBE.

Total DFT energy (no corrections) (eV per cell): -25.4

abc: 5.5243 5.5243 3.8349
angles: 90.00 90.00 90.00
Atoms (fractional coordinates):
W1 0.0000 0.0000 0.0000
C1 0.5000 0.5000 0.5000
I1 0.0000 0.5000 0.0000
I2 0.5000 0.0000 0.0000
N1 0.0000 0.0000 0.5000

***

A relaxed MgBeIn3 crystal. Source: Alexandria, functional PBE.

Formation energy from the elements (eV per atom): 0.895

abc: 5.4352 5.4352 5.4352
angles: 90.00 90.00 90.00
Atoms (fractional coordinates):
Mg1 0.0000 0.0000 0.0000
Be1 0.5000 0.5000 0.5000
In1 0.0000 0.0000 0.5000
In2 0.0000 0.5000 0.0000
In3 0.5000 0.0000 0.0000

***

What did the first record say?
A relaxed WCI2N crystal. Source: Alexandria, functional PBE.

Total DFT energy (no corrections) (eV per cell): -25.4

abc: 5.5243 5.5243 3.8349
angles: 90.00 90.00 90.00
Atoms (fractional coordinates):
W1 0.0000 0.0000 0.0000
C1 0.5000 0.5000 0.5000
I1 0.0000 0.5000 0.0000
I2 0.5000 0.0000 0.0000
N1 0.0000 0.0000 0.5000